Entry 1:
First-principles (GGA-PBE) data for crystalline SrAs2Pd5Rh at its relaxed geometry, as listed in Alexandria.

## Properties
Energy of formation   -218 meV/atom
Crystal system   tetragonal
DOS at the Fermi energy   8.97 states/eV/cell
Symmetry   P4/mmm
DFT total energy   -5.14 eV per atom

Cell lengths 4.366, 4.366, 10.082 Å; angles 90.00, 90.00, 90.00 degrees
Positions (direct):
Sr: 0.500 0.500 0.500
As: 0.000 0.000 0.736
As: 0.000 0.000 0.264
Pd: 0.000 0.000 0.500
Pd: 0.000 0.500 0.847
Pd: 0.500 0.000 0.153
Pd: 0.000 0.500 0.153
Pd: 0.500 0.000 0.847
Rh: 0.000 0.000 0.000

=====

Entry 2:
First-principles (GGA-PBE) data for crystalline Sr2As4PdRh3 at its relaxed geometry, as listed in Alexandria.

## Properties
Energy of formation   -766 meV/atom
Crystal system   tetragonal
DOS at the Fermi energy   5.37 states/eV/cell
Symmetry   P-4m2
DFT total energy   -5.69 eV per atom

Cell lengths 4.413, 4.413, 10.015 Å; angles 90.00, 90.00, 90.00 degrees
Positions (direct):
Sr: 0.500 0.000 0.244
Sr: 0.000 0.500 0.756
As: 0.500 0.500 0.000
As: 0.000 0.000 0.000
As: 0.500 0.000 0.632
As: 0.000 0.500 0.368
Pd: 0.500 0.500 0.500
Rh: 0.000 0.000 0.500
Rh: 0.500 0.000 0.881
Rh: 0.000 0.500 0.119

=====

Entry 3:
First-principles (GGA-PBE) data for crystalline Sr3As4Pd2Rh2 at its relaxed geometry, as listed in Alexandria.

## Properties
Energy of formation   -848 meV/atom
Crystal system   trigonal
DOS at the Fermi energy   6.32 states/eV/cell
Symmetry   P-3m1
DFT total energy   -5.28 eV per atom

Cell lengths 4.246, 4.246, 16.153 Å; angles 90.00, 90.00, 120.00 degrees
Positions (direct):
Sr: 0.000 0.000 0.721
Sr: 0.000 0.000 0.000
Sr: 0.000 0.000 0.279
As: 0.667 0.333 0.140
As: 0.333 0.667 0.860
As: 0.667 0.333 0.591
As: 0.333 0.667 0.409
Pd: 0.667 0.333 0.858
Pd: 0.333 0.667 0.142
Rh: 0.667 0.333 0.442
Rh: 0.333 0.667 0.558